## Sm2PaH (PBE-GGA)

Data for an optimized crystal structure of Sm2PaH.

The structure belongs to space group P4/mmm (No. 123); the cell edges are 3.2613, 3.2613 and 8.4475 Å and the angles 90.00°, 90.00° and 90.00°. Symmetry generates all atoms from Sm at (0.0000, 0.0000, 0.1963), Pa at (0.5000, 0.5000, 0.5000) and H at (0.5000, 0.5000, 0.0000).

The value obtained for the total DFT energy (no corrections) is -5.39 eV per atom. The value obtained for the total magnetization is 0.00 μB per formula unit. Its polymorph energy (0 for the lowest one) is 0.24 eV/f.u.

***

## SmPaH (PBE-GGA)

Data for an optimized crystal structure of SmPaH.

The structure belongs to space group P4/mmm (No. 123); the cell edges are 3.3845, 3.3845 and 5.2422 Å and the angles 90.00°, 90.00° and 90.00°. Symmetry generates all atoms from Sm at (0.0000, 0.0000, 0.0000), Pa at (0.5000, 0.5000, 0.5000) and H at (0.0000, 0.0000, 0.5000).

The value obtained for the total DFT energy (no corrections) is -5.86 eV per atom. The value obtained for the total magnetization is 0.00 μB per formula unit.

***

## Pa3SnH (PBE-GGA)

Data for an optimized crystal structure of Pa3SnH.

The structure belongs to space group Pm-3m (No. 221); the cell edges are 4.6851, 4.6851 and 4.6851 Å and the angles 90.00°, 90.00° and 90.00°. Symmetry generates all atoms from Pa at (0.0000, 0.0000, 0.5000), Sn at (0.5000, 0.5000, 0.5000) and H at (0.0000, 0.0000, 0.0000).

The value obtained for the total DFT energy (no corrections) is -7.41 eV per atom. The value obtained for the total magnetization is 0.00 μB per formula unit.

***

## Pa2SnH3 (PBE-GGA)

Data for an optimized crystal structure of Pa2SnH3.

The structure belongs to space group C2/m (No. 12); the cell edges are 15.4688, 4.0339 and 6.4182 Å and the angles 90.00°, 114.28° and 90.00°. Symmetry generates all atoms from Pa at (0.0164, 0.0000, 0.2643), Pa at (0.1978, 0.5000, 0.2349), Sn at (0.1348, 0.5000, 0.6912), H at (0.0534, 0.5000, 0.1969), H at (0.1155, 0.0000, 0.0738) and H at (0.1842, 0.0000, 0.4062).

The value obtained for the total DFT energy (no corrections) is -5.78 eV per atom. The value obtained for the total magnetization is 1.66 μB per formula unit.

***

## Pa2SnH (PBE-GGA)

Data for an optimized crystal structure of Pa2SnH.

The structure belongs to space group P4/nmm (No. 129, origin choice 2); the cell edges are 4.3570, 4.3570 and 8.8376 Å and the angles 90.00°, 90.00° and 90.00°. Symmetry generates all atoms from Pa at (0.2500, 0.2500, 0.1338), Pa at (0.2500, 0.7500, 0.5000), Sn at (0.2500, 0.2500, 0.7748) and H at (0.2500, 0.2500, 0.3902).

The value obtained for the total DFT energy (no corrections) is -6.73 eV per atom. The value obtained for the total magnetization is 1.26 μB per formula unit. Its polymorph energy (0 for the lowest one) is 0.31 eV/f.u.

***

## Pa4Sn2H (PBE-GGA)

Data for an optimized crystal structure of Pa4Sn2H.

The structure belongs to space group I4/mmm (No. 139); the cell edges are 4.5453, 4.5453 and 16.0731 Å and the angles 90.00°, 90.00° and 90.00°. Symmetry generates all atoms from Pa at (0.0000, 0.0000, 0.1568), Pa at (0.0000, 0.5000, 0.0000), Sn at (0.0000, 0.0000, 0.3539) and H at (0.0000, 0.0000, 0.0000).

The value obtained for the total DFT energy (no corrections) is -7.17 eV per atom. The value obtained for the total magnetization is 0.07 μB per formula unit.

***

## Pa2SnH (PBE-GGA)

Data for an optimized crystal structure of Pa2SnH.

The structure belongs to space group R-3m (No. 166, hexagonal axes); the cell edges are 4.1161, 4.1161 and 16.8157 Å and the angles 90.00°, 90.00° and 120.00°. Symmetry generates all atoms from Pa at (0.0000, 0.0000, 0.2112), Sn at (0.0000, 0.0000, 0.0000) and H at (0.0000, 0.0000, 0.5000).

The value obtained for the total DFT energy (no corrections) is -6.39 eV per atom. The value obtained for the total magnetization is 0.00 μB per formula unit. Its polymorph energy (0 for the lowest one) is 1.66 eV/f.u.

***

## Pa2SnH (PBE-GGA)

Data for an optimized crystal structure of Pa2SnH.

The structure belongs to space group Pnma (No. 62); the cell edges are 6.6219, 4.7174 and 10.1952 Å and the angles 90.00°, 90.00° and 90.00°. Symmetry generates all atoms from Pa at (0.1133, 0.2500, 0.2300), Pa at (0.1454, 0.2500, 0.5735), Sn at (0.1543, 0.2500, 0.8946) and H at (0.0904, 0.7500, 0.5991).

The value obtained for the total DFT energy (no corrections) is -6.81 eV per atom. The value obtained for the total magnetization is 0.00 μB per formula unit. Its polymorph energy (0 for the lowest one) is 0.00 eV/f.u.

***

## PaSnH2 (PBE-GGA)

Data for an optimized crystal structure of PaSnH2.

The structure belongs to space group R-3m (No. 166, hexagonal axes); the cell edges are 3.6949, 3.6949 and 15.4905 Å and the angles 90.00°, 90.00° and 120.00°. Symmetry generates all atoms from Pa at (0.0000, 0.0000, 0.0000), Sn at (0.0000, 0.0000, 0.5000) and H at (0.0000, 0.0000, 0.3012).

The value obtained for the total DFT energy (no corrections) is -5.35 eV per atom. The value obtained for the total magnetization is 0.45 μB per formula unit.

***

## PaSn2H (PBE-GGA)

Data for an optimized crystal structure of PaSn2H.

The structure belongs to space group Cm (No. 8); the cell edges are 5.8507, 3.3793 and 8.7470 Å and the angles 90.00°, 108.85° and 90.00°. Symmetry generates all atoms from Pa at (0.0000, 0.0000, 0.0000), Sn at (0.0272, 0.5000, 0.6735), Sn at (0.3467, 0.5000, 0.3442) and H at (0.3920, 0.0000, 0.1201).

The value obtained for the total DFT energy (no corrections) is -5.29 eV per atom. The value obtained for the total magnetization is 0.00 μB per formula unit.

***

## Pa4Sn3H4 (PBE-GGA)

Data for an optimized crystal structure of Pa4Sn3H4.

The structure belongs to space group C2/m (No. 12); the cell edges are 13.3423, 6.1958 and 5.2209 Å and the angles 90.00°, 106.48° and 90.00°. Symmetry generates all atoms from Pa at (0.0000, 0.2305, 0.0000), Pa at (0.2340, 0.5000, 0.8105), Sn at (0.0000, 0.5000, 0.5000), Sn at (0.1240, 0.0000, 0.5878) and H at (0.1732, 0.2977, 0.0839).

The value obtained for the total DFT energy (no corrections) is -5.98 eV per atom. The value obtained for the total magnetization is 3.34 μB per formula unit.

***

## Sr2PaH8 (PBE-GGA)

Data for an optimized crystal structure of Sr2PaH8.

The structure belongs to space group Immm (No. 71); the cell edges are 3.6761, 5.9007 and 11.4780 Å and the angles 90.00°, 90.00° and 90.00°. Symmetry generates all atoms from Sr at (0.0000, 0.0000, 0.1729), Pa at (0.0000, 0.0000, 0.5000), H at (0.0000, 0.2427, 0.3520), H at (0.0000, 0.2551, 0.0000) and H at (0.0000, 0.5000, 0.1306).

The value obtained for the total DFT energy (no corrections) is -4.06 eV per atom. The value obtained for the total magnetization is 0.98 μB per formula unit.

***

## Pa2TaH6 (PBE-GGA)

Data for an optimized crystal structure of Pa2TaH6.

The structure belongs to space group C2/m (No. 12); the cell edges are 10.4341, 5.2758 and 3.2948 Å and the angles 90.00°, 95.85° and 90.00°. Symmetry generates all atoms from Pa at (0.1481, 0.0000, 0.2159), Ta at (0.0000, 0.5000, 0.5000), H at (0.0000, 0.2988, 0.0000) and H at (0.1598, 0.2972, 0.6878).

The value obtained for the total DFT energy (no corrections) is -5.89 eV per atom. The value obtained for the total magnetization is 0.00 μB per formula unit.

***

## PaTaH (PBE-GGA)

Data for an optimized crystal structure of PaTaH.

The structure belongs to space group P3m1 (No. 156); the cell edges are 3.0745, 3.0745 and 5.6841 Å and the angles 90.00°, 90.00° and 120.00°. Symmetry generates all atoms from Pa at (0.0000, 0.0000, 0.0000), Ta at (0.3333, 0.6667, 0.5169) and H at (0.6667, 0.3333, 0.3325).

The value obtained for the total DFT energy (no corrections) is -8.19 eV per atom. The value obtained for the total magnetization is 0.00 μB per formula unit. Its polymorph energy (0 for the lowest one) is 0.00 eV/f.u.

***

## PaTaH (PBE-GGA)

Data for an optimized crystal structure of PaTaH.

The structure belongs to space group I4mm (No. 107); the cell edges are 2.9071, 2.9071 and 11.0863 Å and the angles 90.00°, 90.00° and 90.00°. Symmetry generates all atoms from Pa at (0.0000, 0.0000, 0.0000), Ta at (0.0000, 0.0000, 0.7342) and H at (0.0000, 0.0000, 0.2163).

The value obtained for the total DFT energy (no corrections) is -7.93 eV per atom. The value obtained for the total magnetization is 0.00 μB per formula unit. Its polymorph energy (0 for the lowest one) is 0.78 eV/f.u.

***

## PaTaH4 (PBE-GGA)

Data for an optimized crystal structure of PaTaH4.

The structure belongs to space group I4_1/amd (No. 141, origin choice 2); the cell edges are 5.0748, 5.0748 and 8.8399 Å and the angles 90.00°, 90.00° and 90.00°. Symmetry generates all atoms from Pa at (0.0000, 0.2500, 0.3750), Ta at (0.0000, 0.2500, 0.8750) and H at (0.2076, 0.0000, 0.0000).

The value obtained for the total DFT energy (no corrections) is -5.97 eV per atom. The value obtained for the total magnetization is 0.45 μB per formula unit.

***

## TbPa2H (PBE-GGA)

Data for an optimized crystal structure of TbPa2H.

The structure belongs to space group R-3m (No. 166, hexagonal axes); the cell edges are 3.1959, 3.1959 and 28.5293 Å and the angles 90.00°, 90.00° and 120.00°. Symmetry generates all atoms from Tb at (0.0000, 0.0000, 0.0000), Pa at (0.0000, 0.0000, 0.1121) and H at (0.0000, 0.0000, 0.5000).

The value obtained for the total DFT energy (no corrections) is -6.58 eV per atom. The value obtained for the total magnetization is 0.00 μB per formula unit.

***

## Pa2TcH (PBE-GGA)

Data for an optimized crystal structure of Pa2TcH.

The structure belongs to space group P4/mmm (No. 123); the cell edges are 3.1937, 3.1937 and 6.6219 Å and the angles 90.00°, 90.00° and 90.00°. Symmetry generates all atoms from Pa at (0.0000, 0.0000, 0.2178), Tc at (0.5000, 0.5000, 0.5000) and H at (0.5000, 0.5000, 0.0000).

The value obtained for the total DFT energy (no corrections) is -8.26 eV per atom. The value obtained for the total magnetization is 0.00 μB per formula unit. Its polymorph energy (0 for the lowest one) is 0.00 eV/f.u.

***

## PaTc2H (PBE-GGA)

Data for an optimized crystal structure of PaTc2H.

The structure belongs to space group P4/mmm (No. 123); the cell edges are 3.3254, 3.3254 and 5.5418 Å and the angles 90.00°, 90.00° and 90.00°. Symmetry generates all atoms from Pa at (0.0000, 0.0000, 0.0000), Tc at (0.5000, 0.5000, 0.2757) and H at (0.0000, 0.0000, 0.5000).

The value obtained for the total DFT energy (no corrections) is -7.82 eV per atom. The value obtained for the total magnetization is 0.00 μB per formula unit. Its polymorph energy (0 for the lowest one) is 0.41 eV/f.u.

***

## PaTcH6 (PBE-GGA)

Data for an optimized crystal structure of PaTcH6.

The structure belongs to space group R-3m (No. 166, hexagonal axes); the cell edges are 4.3822, 4.3822 and 11.1010 Å and the angles 90.00°, 90.00° and 120.00°. Symmetry generates all atoms from Pa at (0.0000, 0.0000, 0.0000), Tc at (0.0000, 0.0000, 0.5000) and H at (0.0518, 0.5259, 0.9163).

The value obtained for the total DFT energy (no corrections) is -5.21 eV per atom. The value obtained for the total magnetization is 0.00 μB per formula unit.

***

## PaTcH (PBE-GGA)

Data for an optimized crystal structure of PaTcH.

The structure belongs to space group I4mm (No. 107); the cell edges are 3.7520, 3.7520 and 7.1732 Å and the angles 90.00°, 90.00° and 90.00°. Symmetry generates all atoms from Pa at (0.0000, 0.0000, 0.0000), Tc at (0.0000, 0.0000, 0.4719) and H at (0.0000, 0.0000, 0.7043).

The value obtained for the total DFT energy (no corrections) is -7.62 eV per atom. The value obtained for the total magnetization is 0.00 μB per formula unit. Its polymorph energy (0 for the lowest one) is 0.00 eV/f.u.

***

## PaTc2H8 (PBE-GGA)

Data for an optimized crystal structure of PaTc2H8.

The structure belongs to space group C2/m (No. 12); the cell edges are 5.3261, 9.0225 and 3.3429 Å and the angles 90.00°, 92.34° and 90.00°. Symmetry generates all atoms from Pa at (0.0000, 0.0000, 0.0000), Tc at (0.0000, 0.3310, 0.5000), H at (0.0000, 0.2621, 0.0000), H at (0.0878, 0.5000, 0.7627) and H at (0.1669, 0.1457, 0.5179).

The value obtained for the total DFT energy (no corrections) is -5.28 eV per atom. The value obtained for the total magnetization is 0.00 μB per formula unit.

***

## PaTcH (PBE-GGA)

Data for an optimized crystal structure of PaTcH.

The structure belongs to space group P-6m2 (No. 187); the cell edges are 3.6204, 3.6204 and 3.9519 Å and the angles 90.00°, 90.00° and 120.00°. Symmetry generates all atoms from Pa at (0.0000, 0.0000, 0.0000), Tc at (0.3333, 0.6667, 0.5000) and H at (0.6667, 0.3333, 0.0000).

The value obtained for the total DFT energy (no corrections) is -7.61 eV per atom. The value obtained for the total magnetization is 0.00 μB per formula unit. Its polymorph energy (0 for the lowest one) is 0.05 eV/f.u.

***

## PaTc2H7 (PBE-GGA)

Data for an optimized crystal structure of PaTc2H7.

The structure belongs to space group Cmmm (No. 65); the cell edges are 5.7471, 8.2139 and 3.6666 Å and the angles 90.00°, 90.00° and 90.00°. Symmetry generates all atoms from Pa at (0.0000, 0.0000, 0.0000), Tc at (0.0000, 0.2853, 0.5000), H at (0.0000, 0.2855, 0.0000), H at (0.0000, 0.5000, 0.5000) and H at (0.2052, 0.1233, 0.5000).

The value obtained for the total DFT energy (no corrections) is -5.40 eV per atom. The value obtained for the total magnetization is 0.00 μB per formula unit.